Compound: TbHoErTm2
Source: the Alexandria database
Functional: PBE
Structure: relaxed

Cell: 6.275 6.276 8.850 Å, 110.77 90.00 90.00°
Fractional positions:
Tb 0.250 0.657 0.313
Tb 0.750 0.343 0.687
Ho 0.250 0.844 0.688
Ho 0.750 0.156 0.312
Er 0.750 0.749 0.499
Er 0.250 0.251 0.501
Tm 0.500 0.250 0.000
Tm 0.000 0.750 0.000
Tm 0.500 0.750 0.000
Tm 0.000 0.250 0.000

Output
Calculated formation energy: 0.38 eV/atom
D(E_F): 8.72 states/eV/f.u.
Calculated volume: 32.6 Å³ per atom
Uncorrected energy: -0.306 Ry/atom

=====

Compound: InPbS3
Source: the Alexandria database
Functional: PBE
Structure: relaxed

Cell: 3.856 7.439 8.549 Å, 93.98 90.00 90.00°
Fractional positions:
In 0.250 0.832 0.371
In 0.750 0.168 0.629
Pb 0.250 0.349 0.160
Pb 0.750 0.651 0.840
S 0.750 0.583 0.394
S 0.250 0.417 0.606
S 0.750 0.293 0.930
S 0.250 0.935 0.670
S 0.250 0.707 0.070
S 0.750 0.065 0.330

Output
D(E_F): 3.06 states/eV/f.u.
Calculated volume: 24.5 Å³ per atom
Formation energy without anion corrections: -0.30 eV/atom
Uncorrected energy: -0.299 Ry/atom
Distance to the lowest polymorph of the same formula: 0.00 eV/f.u.

=====

Compound: Sm3Si8Os3
Source: the Alexandria database
Functional: PBE
Structure: relaxed

Cell: 4.162 7.910 7.910 Å, 76.41 74.75 74.75°
Fractional positions:
Sm 0.500 0.500 0.500
Sm 0.815 0.185 0.185
Sm 0.185 0.815 0.815
Si 0.621 0.090 0.668
Si 0.379 0.910 0.332
Si 0.621 0.668 0.090
Si 0.379 0.332 0.910
Si 0.833 0.799 0.536
Si 0.167 0.201 0.464
Si 0.833 0.536 0.799
Si 0.167 0.464 0.201
Os 0.500 0.000 0.000
Os 0.000 0.774 0.226
Os 0.000 0.226 0.774

Output
D(E_F): 5.18 states/eV/f.u.
Calculated volume: 17.0 Å³ per atom
Formation energy without anion corrections: -0.47 eV/atom
Uncorrected energy: -0.514 Ry/atom

=====

Compound: KBeW2
Source: the Alexandria database
Functional: PBE
Structure: relaxed

Cell: 2.726 2.726 9.464 Å, 90.00 90.00 90.00°
Fractional positions:
Be 0.500 0.500 0.250
K 0.500 0.500 0.750
W 0.000 0.000 0.080
W 0.000 0.000 0.420

Output
Calculated formation energy: 0.91 eV/atom
D(E_F): 2.69 states/eV/f.u.
Calculated volume: 17.6 Å³ per atom
Uncorrected energy: -0.498 Ry/atom

=====

Compound: Dy2TmPuS4
Source: the Alexandria database
Functional: PBE
Structure: relaxed

Cell: 3.887 6.764 6.760 Å, 109.21 90.00 90.00°
Site moments in Bohr magnetons follow the coordinates.
Fractional positions:
Dy 0.500 0.000 0.500  -0.02
Dy 0.000 0.500 0.500  0.06
Tm 0.000 0.000 0.000  0.07
Pu 0.500 0.500 0.000  5.34
S 0.500 0.245 0.247  -0.01
S 0.500 0.755 0.753  -0.01
S 0.000 0.246 0.750  -0.04
S 0.000 0.754 0.250  -0.04

Output
D(E_F): 7.15 states/eV/f.u.
Calculated volume: 21.0 Å³ per atom
Formation energy without anion corrections: -1.94 eV/atom
Uncorrected energy: -0.552 Ry/atom

=====

Compound: Sr2CdGe2Rh5
Source: the Alexandria database
Functional: PBE
Structure: relaxed

Cell: 3.505 10.303 10.303 Å, 90.00 90.00 90.00°
Fractional positions:
Sr 0.000 0.675 0.175
Sr 0.000 0.325 0.825
Sr 0.000 0.175 0.325
Sr 0.000 0.825 0.675
Cd 0.000 0.000 0.000
Cd 0.000 0.500 0.500
Ge 0.000 0.123 0.623
Ge 0.000 0.877 0.377
Ge 0.000 0.623 0.877
Ge 0.000 0.377 0.123
Rh 0.500 0.216 0.067
Rh 0.500 0.784 0.933
Rh 0.500 0.067 0.784
Rh 0.500 0.716 0.433
Rh 0.500 0.933 0.216
Rh 0.500 0.284 0.567
Rh 0.500 0.567 0.716
Rh 0.500 0.433 0.284
Rh 0.500 0.500 0.000
Rh 0.500 0.000 0.500

Output
Calculated formation energy: -0.47 eV/atom
D(E_F): 4.12 states/eV/f.u.
Calculated volume: 18.6 Å³ per atom
Uncorrected energy: -0.404 Ry/atom